No. 1
The following is a DFT calculation (PBE) of Er3Zn6Ga5 after structural relaxation.

Geometry as CIF:
```
data_Er3Zn6Ga5
_chemical_formula_sum 'Er6 Zn12 Ga10'
_symmetry_space_group_name_H-M 'P m m n'
_symmetry_Int_Tables_number 59
_cell_length_a 4.2132
_cell_length_b 12.4228
_cell_length_c 9.6490
_cell_angle_alpha 90.00
_cell_angle_beta 90.00
_cell_angle_gamma 90.00
loop_
_symmetry_equiv_pos_as_xyz
'x,y,z'
'-x,-y,-z'
'-x+1/2,-y+1/2,z'
'x+1/2,y+1/2,-z'
'x+1/2,-y,-z'
'-x+1/2,y,z'
'-x,y+1/2,-z'
'x,-y+1/2,z'
loop_
_atom_site_label
_atom_site_type_symbol
_atom_site_fract_x
_atom_site_fract_y
_atom_site_fract_z
_atom_site_occupancy
Er1 Er 0.2500 0.0594 0.2486 1
Er2 Er 0.2500 0.7500 0.2523 1
Zn1 Zn 0.2500 0.0901 0.6172 1
Zn2 Zn 0.2500 0.2500 0.0437 1
Zn3 Zn 0.2500 0.2500 0.4522 1
Zn4 Zn 0.2500 0.6026 0.9774 1
Ga1 Ga 0.2500 0.0932 0.8735 1
Ga2 Ga 0.2500 0.6096 0.5279 1
Ga3 Ga 0.2500 0.7500 0.7639 1
```

Results
Crystal system: orthorhombic
Formation energy from the elements in eV/atom: -0.42

***

No. 2
The following is a DFT calculation (PBE) of ErZn10Ga2 after structural relaxation.

Geometry as CIF:
```
data_ErZn10Ga2
_chemical_formula_sum 'Er4 Zn40 Ga8'
_symmetry_space_group_name_H-M 'C m c m'
_symmetry_Int_Tables_number 63
_symmetry_space_group_name_Hall '-C 2c 2'
_cell_length_a 8.8409
_cell_length_b 10.5152
_cell_length_c 9.0586
_cell_angle_alpha 90.00
_cell_angle_beta 90.00
_cell_angle_gamma 90.00
loop_
_atom_site_label
_atom_site_type_symbol
_atom_site_fract_x
_atom_site_fract_y
_atom_site_fract_z
_atom_site_occupancy
Er1 Er 0.0000 0.1331 0.2500 1
Zn1 Zn 0.0000 0.1505 0.6041 1
Zn2 Zn 0.0000 0.3971 0.0794 1
Zn3 Zn 0.1437 0.3770 0.7500 1
Zn4 Zn 0.2197 0.0000 0.0000 1
Zn5 Zn 0.2410 0.3821 0.2500 1
Ga1 Ga 0.2500 0.2500 0.0000 1
```

Results
Crystal system: orthorhombic
Formation energy from the elements in eV/atom: -0.12

***

No. 3
The following is a DFT calculation (PBE) of Er2ZnGa8 after structural relaxation.

Geometry as CIF:
```
data_Er2ZnGa8
_chemical_formula_sum 'Er2 Zn1 Ga8'
_symmetry_space_group_name_H-M 'P 4/m m m'
_symmetry_Int_Tables_number 123
_symmetry_space_group_name_Hall '-P 4 2'
_cell_length_a 4.3977
_cell_length_b 4.3977
_cell_length_c 10.9581
_cell_angle_alpha 90.00
_cell_angle_beta 90.00
_cell_angle_gamma 90.00
loop_
_atom_site_label
_atom_site_type_symbol
_atom_site_fract_x
_atom_site_fract_y
_atom_site_fract_z
_atom_site_occupancy
Er1 Er 0.0000 0.0000 0.1903 1
Zn1 Zn 0.0000 0.0000 0.5000 1
Ga1 Ga 0.0000 0.5000 0.0000 1
Ga2 Ga 0.0000 0.5000 0.3725 1
Ga3 Ga 0.5000 0.5000 0.1945 1
```

Results
Crystal system: tetragonal
Formation energy from the elements in eV/atom: -0.35

***

No. 4
The following is a DFT calculation (PBE) of ErZn12Ga4 after structural relaxation.

Geometry as CIF:
```
data_ErZn12Ga4
_chemical_formula_sum 'Er2 Zn24 Ga8'
_symmetry_space_group_name_H-M 'I m -3'
_symmetry_Int_Tables_number 204
_symmetry_space_group_name_Hall '-I 2 2 3'
_cell_length_a 8.7390
_cell_length_b 8.7390
_cell_length_c 8.7390
_cell_angle_alpha 90.00
_cell_angle_beta 90.00
_cell_angle_gamma 90.00
loop_
_atom_site_label
_atom_site_type_symbol
_atom_site_fract_x
_atom_site_fract_y
_atom_site_fract_z
_atom_site_occupancy
Er1 Er 0.0000 0.0000 0.0000 1
Zn1 Zn 0.0000 0.3524 0.1468 1
Ga1 Ga 0.2500 0.2500 0.2500 1
```

Results
Crystal system: cubic
Formation energy from the elements in eV/atom: 0.17

***

No. 5
The following is a DFT calculation (PBE) of ErZnGa after structural relaxation.

Geometry as CIF:
```
data_ErZnGa
_chemical_formula_sum 'Er2 Zn2 Ga2'
_symmetry_space_group_name_H-M 'P 63 m c'
_symmetry_Int_Tables_number 186
_symmetry_space_group_name_Hall 'P 6c -2c'
_cell_length_a 4.4042
_cell_length_b 4.4042
_cell_length_c 7.0581
_cell_angle_alpha 90.00
_cell_angle_beta 90.00
_cell_angle_gamma 120.00
loop_
_atom_site_label
_atom_site_type_symbol
_atom_site_fract_x
_atom_site_fract_y
_atom_site_fract_z
_atom_site_occupancy
Er1 Er 0.0000 0.0000 0.0000 1
Zn1 Zn 0.3333 0.6667 0.2133 1
Ga1 Ga 0.3333 0.6667 0.7828 1
```

Results
Crystal system: hexagonal
Formation energy from the elements in eV/atom: -0.58

***

No. 6
The following is a DFT calculation (PBE) of Er3Zn4Ga4 after structural relaxation.

Geometry as CIF:
```
data_Er3Zn4Ga4
_chemical_formula_sum 'Er3 Zn4 Ga4'
_symmetry_space_group_name_H-M 'P -1'
_symmetry_Int_Tables_number 2
_cell_length_a 3.6796
_cell_length_b 4.3325
_cell_length_c 13.4879
_cell_angle_alpha 99.24
_cell_angle_beta 97.82
_cell_angle_gamma 90.01
loop_
_symmetry_equiv_pos_as_xyz
'x,y,z'
'-x,-y,-z'
loop_
_atom_site_label
_atom_site_type_symbol
_atom_site_fract_x
_atom_site_fract_y
_atom_site_fract_z
_atom_site_occupancy
Er1 Er 0.0000 0.0000 0.0000 1
Er2 Er 0.1445 0.6440 0.2885 1
Zn1 Zn 0.2568 0.2572 0.5130 1
Zn2 Zn 0.4065 0.9061 0.8121 1
Ga1 Ga 0.3117 0.8132 0.6245 1
Ga2 Ga 0.4511 0.4517 0.9034 1
```

Results
Energy above the most stable polymorph in this dataset in eV/atom: 0.037
Crystal system: triclinic
Formation energy from the elements in eV/atom: -0.47

***

No. 7
The following is a DFT calculation (PBE) of ErZn2Ga after structural relaxation.

Geometry as CIF:
```
data_ErZn2Ga
_chemical_formula_sum 'Er2 Zn4 Ga2'
_symmetry_space_group_name_H-M 'P 1 21/m 1'
_symmetry_Int_Tables_number 11
_cell_length_a 3.9524
_cell_length_b 4.2058
_cell_length_c 9.3734
_cell_angle_alpha 90.00
_cell_angle_beta 102.15
_cell_angle_gamma 90.00
loop_
_symmetry_equiv_pos_as_xyz
'x,y,z'
'-x,-y,-z'
'-x,y+1/2,-z'
'x,-y+1/2,z'
loop_
_atom_site_label
_atom_site_type_symbol
_atom_site_fract_x
_atom_site_fract_y
_atom_site_fract_z
_atom_site_occupancy
Er1 Er 0.1081 0.2500 0.2157 1
Zn1 Zn 0.2530 0.7500 0.5057 1
Zn2 Zn 0.4703 0.2500 0.9369 1
Ga1 Ga 0.3346 0.2500 0.6697 1
```

Results
Crystal system: monoclinic
Formation energy from the elements in eV/atom: -0.39

***

No. 8
The following is a DFT calculation (PBE) of Er2ZnGa after structural relaxation.

Geometry as CIF:
```
data_Er2ZnGa
_chemical_formula_sum 'Er8 Zn4 Ga4'
_symmetry_space_group_name_H-M 'F m -3 m'
_symmetry_Int_Tables_number 225
_symmetry_space_group_name_Hall '-F 4 2 3'
_cell_length_a 7.0728
_cell_length_b 7.0728
_cell_length_c 7.0728
_cell_angle_alpha 90.00
_cell_angle_beta 90.00
_cell_angle_gamma 90.00
loop_
_atom_site_label
_atom_site_type_symbol
_atom_site_fract_x
_atom_site_fract_y
_atom_site_fract_z
_atom_site_occupancy
Er1 Er 0.2500 0.2500 0.2500 1
Zn1 Zn 0.0000 0.0000 0.0000 1
Ga1 Ga 0.0000 0.0000 0.5000 1
```

Results
Crystal system: cubic
Formation energy from the elements in eV/atom: -0.48

***

What is the formula in the eighth record?
Er2ZnGa

***

Among the records above, which one has the highest formation energy from the elements?
ErZn12Ga4

***

Which of these has the lowest formation energy from the elements?
ErZnGa

***

Which of these has the lowest formation energy from the elements?
ErZnGa